No. 1
This record from the Alexandria database describes crystalline Hf2CoNi2 at its relaxed geometry. The functional is PBE. Values from VASP.

```
&SYSTEM
  ibrav = 0, nat = 10, ntyp = 3
/
ATOMIC_SPECIES
Hf 178.49 Hf.upf
Co 58.93 Co.upf
Ni 58.69 Ni.upf
CELL_PARAMETERS angstrom
-2.7868 5.4997 2.5162
2.7868 -5.4997 2.5162
2.7868 5.4997 -2.5162
ATOMIC_POSITIONS angstrom
Hf 1.1764 1.8266 0.0000
Hf 1.1764 -1.8266 2.5162
Hf 1.6104 7.3263 0.0000
Hf 1.6104 3.6731 2.5162
Co 0.0000 0.0000 1.2581
Co 0.0000 0.0000 3.7743
Ni 3.6917 1.0102 0.0000
Ni 0.9049 4.4895 0.0000
Ni 1.8818 1.0102 2.5162
Ni -0.9049 4.4895 2.5162
```

VASP energy ... -7.973 eV/atom
E above lowest polymorph ... 71 meV/atom
Space-group type ... Ibam, No. 72
Calculated formation energy ... -25 kJ/mol of atoms

No. 2
This record from the Alexandria database describes crystalline TaRe3 at its relaxed geometry. The functional is PBE. Values from VASP.

```
&SYSTEM
  ibrav = 0, nat = 8, ntyp = 2
/
ATOMIC_SPECIES
Ta 180.95 Ta.upf
Re 186.21 Re.upf
CELL_PARAMETERS angstrom
4.5267 0.0000 0.0000
0.0000 5.5503 0.0000
0.0000 0.0000 5.0837
ATOMIC_POSITIONS angstrom
Ta 1.1317 1.3876 0.5828
Ta 3.3950 4.1627 4.5009
Re 1.1317 2.8863 3.2857
Re 1.1317 4.1627 0.9105
Re 1.1317 5.4391 3.2857
Re 3.3950 0.1112 1.7980
Re 3.3950 1.3876 4.1732
Re 3.3950 2.6640 1.7980
```

VASP energy ... -12.231 eV/atom
Space-group type ... Pmmn, No. 59
Calculated formation energy ... 7 kJ/mol of atoms

No. 3
This record from the Alexandria database describes crystalline YNiN2 at its relaxed geometry. The functional is PBE. Values from VASP.

```
&SYSTEM
  ibrav = 0, nat = 4, ntyp = 3
/
ATOMIC_SPECIES
Y 88.91 Y.upf
Ni 58.69 Ni.upf
N 14.01 N.upf
CELL_PARAMETERS angstrom
0.0000 2.8202 2.8202
2.8202 0.0000 2.8202
2.8202 2.8202 0.0000
ATOMIC_POSITIONS angstrom
Y 0.0000 0.0000 0.0000
Ni 2.8202 2.8202 2.8202
N 1.4101 1.4101 1.4101
N 4.2303 4.2303 4.2303
```

VASP energy ... -7.109 eV/atom
E above lowest polymorph ... 429 meV/atom
E_form (uncorrected) ... 115 meV/atom
Space-group type ... Fm-3m, No. 225

No. 4
This record from the Alexandria database describes crystalline Mn2Al2Te5 at its relaxed geometry. The functional is PBE. Values from VASP.

```
&SYSTEM
  ibrav = 0, nat = 9, ntyp = 3
/
ATOMIC_SPECIES
Mn 54.94 Mn.upf
Al 26.98 Al.upf
Te 127.60 Te.upf
CELL_PARAMETERS angstrom
11.0975 -2.0771 0.0000
11.0975 2.0771 0.0000
-2.0227 0.0000 6.7711
ATOMIC_POSITIONS angstrom
Mn 1.0196 0.0000 1.9439
Mn 19.1528 0.0000 4.8272
Al 8.3596 0.0000 0.5830
Al 11.8128 0.0000 6.1881
Te 3.5874 0.0000 0.8116
Te 7.7816 0.0000 3.0843
Te 11.0975 0.0000 0.0000
Te 12.3908 0.0000 3.6868
Te 16.5850 0.0000 5.9595
```

VASP energy ... -4.794 eV/atom
E_form (uncorrected) ... -179 meV/atom
Space-group type ... C2/m, No. 12